[1]
Pr8Pd3RuBr4: relaxed, PBE-GGA.

## Properties
As for the symmetry: No. 166. The value obtained for the formation energy from raw total energies is -93 kJ/mol of atoms. As for the total moment: 0.00 μB/atom.

CIF file:
```
data_Pr8Pd3RuBr4
_chemical_formula_sum 'Pr8 Pd3 Ru1 Br4'
_space_group_name_H-M_alt 'P 1'
_space_group_IT_number 1
_cell_length_a 8.429
_cell_length_b 9.248
_cell_length_c 8.429
_cell_angle_alpha 117.14
_cell_angle_beta 120.00
_cell_angle_gamma 90.00
loop_
_space_group_symop_operation_xyz
'x,y,z'
loop_
_atom_site_label
_atom_site_fract_x
_atom_site_fract_y
_atom_site_fract_z
Pr1 0.228 0.700 0.972
Pr2 0.228 0.700 0.455
Pr3 0.267 0.301 0.533
Pr4 0.745 0.700 0.972
Pr5 0.255 0.300 0.028
Pr6 0.733 0.699 0.467
Pr7 0.772 0.300 0.545
Pr8 0.772 0.300 0.028
Pd1 0.500 0.500 0.000
Pd2 0.500 0.500 0.500
Pd3 0.000 0.500 0.500
Ru1 0.000 0.500 0.000
Br1 0.500 0.000 0.000
Br2 0.500 0.000 0.500
Br3 0.000 0.000 0.000
Br4 0.000 0.000 0.500
```

[2]
NbAg3W: relaxed, PBE-GGA.

## Properties
The calculation puts the formation enthalpy at 0 K at 2106 meV per atom. As for the symmetry: No. 221. As for the total moment: 0.00 μB/atom.

CIF file:
```
data_NbAg3W
_chemical_formula_sum 'Nb1 Ag3 W1'
_space_group_name_H-M_alt 'P 1'
_space_group_IT_number 1
_cell_length_a 4.923
_cell_length_b 4.923
_cell_length_c 4.923
_cell_angle_alpha 90.00
_cell_angle_beta 90.00
_cell_angle_gamma 90.00
loop_
_space_group_symop_operation_xyz
'x,y,z'
loop_
_atom_site_label
_atom_site_fract_x
_atom_site_fract_y
_atom_site_fract_z
Nb1 0.500 0.500 0.500
Ag1 0.000 0.500 0.000
Ag2 0.000 0.000 0.500
Ag3 0.500 0.000 0.000
W1 0.000 0.000 0.000
```

[3]
CuAgF3: relaxed, PBE-GGA.

## Properties
As for the symmetry: No. 63. The value obtained for the formation energy from raw total energies is -109 kJ/mol of atoms. As for the total moment: 0.20 μB/atom.

CIF file:
```
data_CuAgF3
_chemical_formula_sum 'Cu2 Ag2 F6'
_space_group_name_H-M_alt 'P 1'
_space_group_IT_number 1
_cell_length_a 4.791
_cell_length_b 4.791
_cell_length_c 6.401
_cell_angle_alpha 90.00
_cell_angle_beta 90.00
_cell_angle_gamma 86.14
loop_
_space_group_symop_operation_xyz
'x,y,z'
loop_
_atom_site_label
_atom_site_fract_x
_atom_site_fract_y
_atom_site_fract_z
Cu1 0.166 0.834 0.250
Cu2 0.834 0.166 0.750
Ag1 0.673 0.327 0.250
Ag2 0.327 0.673 0.750
F1 0.168 0.433 0.250
F2 0.567 0.832 0.250
F3 0.433 0.168 0.750
F4 0.832 0.567 0.750
F5 0.000 0.000 0.000
F6 0.000 0.000 0.500
```

[4]
Tl2InPt: relaxed, PBE-GGA.

## Properties
The calculation puts the formation enthalpy at 0 K at 157 meV per atom. As for the symmetry: No. 12. As for the total moment: 0.00 μB/atom.

CIF file:
```
data_Tl2InPt
_chemical_formula_sum 'Tl2 In1 Pt1'
_space_group_name_H-M_alt 'P 1'
_space_group_IT_number 1
_cell_length_a 5.148
_cell_length_b 6.485
_cell_length_c 3.263
_cell_angle_alpha 76.00
_cell_angle_beta 88.60
_cell_angle_gamma 113.00
loop_
_space_group_symop_operation_xyz
'x,y,z'
loop_
_atom_site_label
_atom_site_fract_x
_atom_site_fract_y
_atom_site_fract_z
In1 0.000 0.500 0.500
Pt1 0.500 0.500 0.000
Tl1 0.000 0.000 0.000
Tl2 0.500 0.000 0.500
```

[5]
LaPbS: relaxed, PBE-GGA.

## Properties
As for the symmetry: No. 129. The value obtained for the formation energy from raw total energies is -126 kJ/mol of atoms. As for the total moment: 0.00 μB/atom.

CIF file:
```
data_LaPbS
_chemical_formula_sum 'La2 Pb2 S2'
_space_group_name_H-M_alt 'P 1'
_space_group_IT_number 1
_cell_length_a 4.017
_cell_length_b 4.017
_cell_length_c 10.509
_cell_angle_alpha 90.00
_cell_angle_beta 90.00
_cell_angle_gamma 90.00
loop_
_space_group_symop_operation_xyz
'x,y,z'
loop_
_atom_site_label
_atom_site_fract_x
_atom_site_fract_y
_atom_site_fract_z
Pb1 0.000 0.500 0.586
Pb2 0.500 0.000 0.414
La1 0.000 0.500 0.172
La2 0.500 0.000 0.828
S1 0.500 0.000 0.109
S2 0.000 0.500 0.891
```

[6]
AcCo4Si4: relaxed, PBE-GGA.

## Properties
As for the symmetry: No. 87. The value obtained for the formation energy from raw total energies is -55 kJ/mol of atoms. As for the total moment: 0.00 μB/atom.

CIF file:
```
data_AcCo4Si4
_chemical_formula_sum 'Ac2 Co8 Si8'
_space_group_name_H-M_alt 'P 1'
_space_group_IT_number 1
_cell_length_a 4.106
_cell_length_b 8.055
_cell_length_c 8.055
_cell_angle_alpha 90.00
_cell_angle_beta 90.00
_cell_angle_gamma 90.00
loop_
_space_group_symop_operation_xyz
'x,y,z'
loop_
_atom_site_label
_atom_site_fract_x
_atom_site_fract_y
_atom_site_fract_z
Ac1 0.000 0.000 0.000
Ac2 0.500 0.500 0.500
Co1 0.500 0.373 0.901
Co2 0.000 0.599 0.873
Co3 0.500 0.627 0.099
Co4 0.000 0.127 0.599
Co5 0.500 0.901 0.627
Co6 0.000 0.873 0.401
Co7 0.000 0.401 0.127
Co8 0.500 0.099 0.373
Si1 0.500 0.837 0.287
Si2 0.500 0.163 0.713
Si3 0.000 0.787 0.663
Si4 0.000 0.337 0.787
Si5 0.000 0.663 0.213
Si6 0.500 0.287 0.163
Si7 0.500 0.713 0.837
Si8 0.000 0.213 0.337
```